(1)
VASP calculation (GGA-PBE) on a relaxed ZrSi2Br crystal.

abc: 5.654 5.654 5.654
angles: 144.15 134.34 59.37
Atoms (fractional coordinates):
Zr  0.000  0.000  0.000
Si  0.234  0.734  0.500
Si  0.766  0.266  0.500
Br  0.500  0.500  0.000

Output
E_form (uncorrected) ... 0.06 eV per atom
DOS(E_F) ... 0.62 states/eV per atom
Space-group type ... Immm (71)

(2)
VASP calculation (GGA-PBE) on a relaxed PmP2IrRh2 crystal.

abc: 4.489 4.489 5.577
angles: 90.00 90.00 90.00
Atoms (fractional coordinates):
Pm  0.000  0.000  0.000
P  0.000  0.500  0.500
P  0.500  0.000  0.500
Ir  0.000  0.000  0.500
Rh  0.500  0.500  0.250
Rh  0.500  0.500  0.750

Output
DOS(E_F) ... 0.39 states/eV per atom
Space-group type ... P4/mmm (123)
Calculated formation energy ... -255 meV/atom

(3)
VASP calculation (GGA-PBE) on a relaxed Sr2TiIr3O12 crystal.

abc: 7.064 7.064 7.064
angles: 60.13 60.13 60.13
Atoms (fractional coordinates):
Sr  0.122  0.122  0.122
Sr  0.878  0.878  0.878
Ti  0.500  0.500  0.500
Ir  0.000  0.500  0.500
Ir  0.500  0.000  0.500
Ir  0.500  0.500  0.000
O  0.165  0.584  0.584
O  0.170  0.170  0.592
O  0.170  0.592  0.170
O  0.408  0.830  0.830
O  0.416  0.416  0.835
O  0.416  0.835  0.416
O  0.584  0.165  0.584
O  0.584  0.584  0.165
O  0.592  0.170  0.170
O  0.830  0.408  0.830
O  0.830  0.830  0.408
O  0.835  0.416  0.416

Output
E_form (uncorrected) ... -1.47 eV per atom
DOS(E_F) ... 0.68 states/eV per atom
Space-group type ... R-3m (166)

(4)
VASP calculation (GGA-PBE) on a relaxed SrCa2PbS crystal.

abc: 5.376 5.376 5.649
angles: 90.00 90.00 90.00
Atoms (fractional coordinates):
Sr  0.000  0.000  0.000
Ca  0.000  0.500  0.500
Ca  0.500  0.000  0.500
Pb  0.500  0.500  0.000
S  0.000  0.000  0.500

Output
E_form (uncorrected) ... -1.06 eV per atom
DOS(E_F) ... 0.05 states/eV per atom
Space-group type ... P4/mmm (123)

(5)
VASP calculation (GGA-PBE) on a relaxed NbCoPd3 crystal.

abc: 4.799 4.799 4.799
angles: 90.00 90.00 90.00
Atoms (fractional coordinates):
Nb  0.000  0.000  0.000
Co  0.500  0.500  0.500
Pd  0.000  0.000  0.500
Pd  0.000  0.500  0.000
Pd  0.500  0.000  0.000

Output
DOS(E_F) ... 1.02 states/eV per atom
Space-group type ... Pm-3m (221)
Calculated formation energy ... 1299 meV/atom

(6)
VASP calculation (GGA-PBE) on a relaxed TcH3Se crystal.

abc: 3.703 3.703 3.703
angles: 90.00 90.00 90.00
Atoms (fractional coordinates):
Tc  0.000  0.000  0.000
H  0.000  0.500  0.500
H  0.500  0.000  0.500
H  0.500  0.500  0.000
Se  0.500  0.500  0.500

Output
E ... -3.476 eV/atom
DOS(E_F) ... 0.75 states/eV per atom
Space-group type ... Pm-3m (221)

> Look up the DOS(E_F) of the second one.

0.39 states/eV per atom

> Which value of DOS(E_F) does entry 1 give?

0.62 states/eV per atom

> What is the DOS(E_F) in the fifth record?

1.02 states/eV per atom